[1]
Material: TePSe2
Method: DFT, PBE
State: optimized geometry

As for the density of states at the Fermi level: 5.81 states/eV/cell. The total magnetization comes out at 0.00 μB/f.u. For the uncorrected formation energy, the calculation gives 0.3543 eV/atom. For the distance to the lowest polymorph of the same formula, the calculation gives 201 meV per atom.

It has space group Cmmm (No. 65), with a = 3.4906 Å, b = 7.9089 Å, c = 8.1081 Å, α = 90.00°, β = 90.00° and γ = 90.00°. The asymmetric unit holds Te at (0.0000, 0.0000, 0.0000), P at (0.0000, 0.0000, 0.5000) and Se at (0.0000, 0.5000, 0.2869).

***

[2]
Material: TePSe4
Method: DFT, PBE
State: optimized geometry

As for the density of states at the Fermi level: 22.55 states/eV/cell. The total magnetization comes out at 0.00 μB/f.u. For the uncorrected formation energy, the calculation gives 0.9216 eV/atom. For the distance to the lowest polymorph of the same formula, the calculation gives 814 meV per atom.

It has space group F-43m (No. 216), with a = 8.0512 Å, b = 8.0512 Å, c = 8.0512 Å, α = 90.00°, β = 90.00° and γ = 90.00°. The asymmetric unit holds Te at (0.0000, 0.0000, 0.0000), P at (0.2500, 0.2500, 0.7500) and Se at (0.1238, 0.1238, 0.3762).

***

[3]
Material: TePSe
Method: DFT, PBE
State: optimized geometry

The total magnetization comes out at 0.00 μB/f.u. For the uncorrected formation energy, the calculation gives 0.1285 eV/atom. For the distance to the lowest polymorph of the same formula, the calculation gives 67 meV per atom.

It has space group P1 (No. 1), with a = 5.0813 Å, b = 5.5461 Å, c = 7.3174 Å, α = 69.47°, β = 81.30° and γ = 83.11°. The asymmetric unit holds Te at (0.0000, 0.0000, 0.0000), Te at (0.2040, 0.5244, 0.9425), P at (0.1532, 0.9243, 0.3374), P at (0.4487, 0.2590, 0.2348), Se at (0.4151, 0.5237, 0.4192) and Se at (0.8414, 0.9311, 0.5732).

***

[4]
Material: TePSe2
Method: DFT, PBE
State: optimized geometry

As for the density of states at the Fermi level: 4.90 states/eV/cell. The total magnetization comes out at 0.00 μB/f.u. For the uncorrected formation energy, the calculation gives 0.2662 eV/atom. For the distance to the lowest polymorph of the same formula, the calculation gives 113 meV per atom.

It has space group I4/mmm (No. 139), with a = 5.7050 Å, b = 5.7050 Å, c = 5.7503 Å, α = 90.00°, β = 90.00° and γ = 90.00°. The asymmetric unit holds Te at (0.0000, 0.0000, 0.0000), P at (0.0000, 0.0000, 0.5000) and Se at (0.0000, 0.5000, 0.0000).

***

[5]
Material: Te2PSe
Method: DFT, PBE
State: optimized geometry

As for the density of states at the Fermi level: 1.09 states/eV/cell. The total magnetization comes out at 0.00 μB/f.u. For the uncorrected formation energy, the calculation gives 0.1849 eV/atom. For the distance to the lowest polymorph of the same formula, the calculation gives 11 meV per atom.

It has space group P4mm (No. 99), with a = 4.1968 Å, b = 4.1968 Å, c = 5.9662 Å, α = 90.00°, β = 90.00° and γ = 90.00°. The asymmetric unit holds Te at (0.0000, 0.0000, 0.0000), Te at (0.5000, 0.5000, 0.4628), P at (0.5000, 0.5000, 0.0293) and Se at (0.0000, 0.0000, 0.4801).

***

[6]
Material: TePSe
Method: DFT, PBE
State: optimized geometry

As for the density of states at the Fermi level: 2.25 states/eV/cell. The total magnetization comes out at 0.00 μB/f.u. For the uncorrected formation energy, the calculation gives 0.0978 eV/atom. For the distance to the lowest polymorph of the same formula, the calculation gives 36 meV per atom.

It has space group Cm (No. 8), with a = 7.5524 Å, b = 3.2917 Å, c = 7.1140 Å, α = 90.00°, β = 113.80° and γ = 90.00°. The asymmetric unit holds Te at (0.0000, 0.0000, 0.0000), P at (0.3734, 0.5000, 0.2880) and Se at (0.0585, 0.5000, 0.5146).

***

[7]
Material: Te2PSe
Method: DFT, PBE
State: optimized geometry

As for the density of states at the Fermi level: 5.10 states/eV/cell. The total magnetization comes out at 0.00 μB/f.u. For the uncorrected formation energy, the calculation gives 0.2720 eV/atom. For the distance to the lowest polymorph of the same formula, the calculation gives 99 meV per atom.

It has space group C2/m (No. 12), with a = 6.0210 Å, b = 8.3233 Å, c = 5.1006 Å, α = 90.00°, β = 125.97° and γ = 90.00°. The asymmetric unit holds Te at (0.2500, 0.2500, 0.0000), P at (0.0000, 0.0000, 0.5000) and Se at (0.0000, 0.5000, 0.5000).

***

[8]
Material: TeP2Se
Method: DFT, PBE
State: optimized geometry

As for the density of states at the Fermi level: 2.95 states/eV/cell. The total magnetization comes out at 0.00 μB/f.u. For the uncorrected formation energy, the calculation gives 0.2785 eV/atom. For the distance to the lowest polymorph of the same formula, the calculation gives 142 meV per atom.

It has space group Cm (No. 8), with a = 15.8775 Å, b = 3.4012 Å, c = 4.0989 Å, α = 90.00°, β = 96.91° and γ = 90.00°. The asymmetric unit holds Te at (0.0000, 0.0000, 0.0000), P at (0.2966, 0.5000, 0.3425), P at (0.4337, 0.0000, 0.3365) and Se at (0.2438, 0.0000, 0.6478).

***

[9]
Material: TeP2Se
Method: DFT, PBE
State: optimized geometry

As for the density of states at the Fermi level: 2.46 states/eV/cell. The total magnetization comes out at 0.00 μB/f.u. For the uncorrected formation energy, the calculation gives 0.7189 eV/atom. For the distance to the lowest polymorph of the same formula, the calculation gives 583 meV per atom.

It has space group P4/mmm (No. 123), with a = 4.7309 Å, b = 4.7309 Å, c = 3.4767 Å, α = 90.00°, β = 90.00° and γ = 90.00°. The asymmetric unit holds Te at (0.0000, 0.0000, 0.0000), P at (0.0000, 0.5000, 0.5000) and Se at (0.5000, 0.5000, 0.0000).

***

[10]
Material: TeP2Se
Method: DFT, PBE
State: optimized geometry

As for the density of states at the Fermi level: 7.37 states/eV/cell. The total magnetization comes out at 0.00 μB/f.u. For the uncorrected formation energy, the calculation gives 0.4793 eV/atom. For the distance to the lowest polymorph of the same formula, the calculation gives 343 meV per atom.

It has space group I-42d (No. 122), with a = 6.9315 Å, b = 6.9315 Å, c = 8.0918 Å, α = 90.00°, β = 90.00° and γ = 90.00°. The asymmetric unit holds Te at (0.0000, 0.0000, 0.0000), P at (0.2322, 0.7500, 0.6250) and Se at (0.0000, 0.0000, 0.5000).

***

[11]
Material: Te2P2Se
Method: DFT, PBE
State: optimized geometry

As for the density of states at the Fermi level: 4.73 states/eV/cell. The total magnetization comes out at 0.00 μB/f.u. For the uncorrected formation energy, the calculation gives 0.3992 eV/atom.

It has space group P4/mbm (No. 127), with a = 7.8075 Å, b = 7.8075 Å, c = 3.9237 Å, α = 90.00°, β = 90.00° and γ = 90.00°. The asymmetric unit holds Te at (0.1523, 0.3477, 0.0000), P at (0.1984, 0.6984, 0.5000) and Se at (0.0000, 0.0000, 0.5000).

***

[12]
Material: TeP2Se
Method: DFT, PBE
State: optimized geometry

As for the density of states at the Fermi level: 3.66 states/eV/cell. The total magnetization comes out at 0.00 μB/f.u. For the uncorrected formation energy, the calculation gives 0.3082 eV/atom. For the distance to the lowest polymorph of the same formula, the calculation gives 172 meV per atom.

It has space group C2/m (No. 12), with a = 6.7929 Å, b = 3.8339 Å, c = 6.7864 Å, α = 90.00°, β = 107.51° and γ = 90.00°. The asymmetric unit holds Te at (0.0000, 0.0000, 0.0000), P at (0.2474, 0.0000, 0.7382) and Se at (0.0000, 0.5000, 0.5000).

***

[13]
Material: Te2PSe
Method: DFT, PBE
State: optimized geometry

As for the density of states at the Fermi level: 2.45 states/eV/cell. The total magnetization comes out at 0.00 μB/f.u. For the uncorrected formation energy, the calculation gives 0.2118 eV/atom. For the distance to the lowest polymorph of the same formula, the calculation gives 38 meV per atom.

It has space group Pm (No. 6), with a = 5.0914 Å, b = 4.0751 Å, c = 5.3363 Å, α = 90.00°, β = 109.17° and γ = 90.00°. The asymmetric unit holds Te at (0.0000, 0.0000, 0.0000), Te at (0.2550, 0.5000, 0.6919), P at (0.8107, 0.5000, 0.2780) and Se at (0.5486, 0.0000, 0.4542).

***

[14]
Material: TeP2Se
Method: DFT, PBE
State: optimized geometry

As for the density of states at the Fermi level: 11.02 states/eV/cell. The total magnetization comes out at 0.00 μB/f.u. For the uncorrected formation energy, the calculation gives 0.7348 eV/atom. For the distance to the lowest polymorph of the same formula, the calculation gives 599 meV per atom.

It has space group F-43m (No. 216), with a = 6.7738 Å, b = 6.7738 Å, c = 6.7738 Å, α = 90.00°, β = 90.00° and γ = 90.00°. The asymmetric unit holds Te at (0.0000, 0.0000, 0.0000), P at (0.0000, 0.0000, 0.5000), P at (0.2500, 0.2500, 0.2500) and Se at (0.2500, 0.2500, 0.7500).

***

[15]
Material: TeP2Se
Method: DFT, PBE
State: optimized geometry

As for the density of states at the Fermi level: 3.29 states/eV/cell. The total magnetization comes out at 0.00 μB/f.u. For the uncorrected formation energy, the calculation gives 0.3547 eV/atom. For the distance to the lowest polymorph of the same formula, the calculation gives 218 meV per atom.

It has space group Cmm2 (No. 35), with a = 3.5169 Å, b = 7.4544 Å, c = 8.7449 Å, α = 90.00°, β = 90.00° and γ = 90.00°. The asymmetric unit holds Te at (0.0000, 0.0000, 0.0000), P at (0.0000, 0.0000, 0.4079), P at (0.0000, 0.5000, 0.2010) and Se at (0.0000, 0.5000, 0.5809).

***

[16]
Material: TePSe2
Method: DFT, PBE
State: optimized geometry

As for the density of states at the Fermi level: 3.35 states/eV/cell. The total magnetization comes out at 0.00 μB/f.u. For the uncorrected formation energy, the calculation gives 0.2782 eV/atom. For the distance to the lowest polymorph of the same formula, the calculation gives 125 meV per atom.

It has space group C2/m (No. 12), with a = 11.8784 Å, b = 3.3196 Å, c = 5.7724 Å, α = 90.00°, β = 109.66° and γ = 90.00°. The asymmetric unit holds Te at (0.0000, 0.0000, 0.0000), P at (0.0000, 0.5000, 0.5000) and Se at (0.1521, 0.0000, 0.7235).

***

[17]
Material: TePSe
Method: DFT, PBE
State: optimized geometry

The total magnetization comes out at 0.00 μB/f.u. For the uncorrected formation energy, the calculation gives 0.0615 eV/atom. For the distance to the lowest polymorph of the same formula, the calculation gives 0 meV per atom.

It has space group P1 (No. 1), with a = 5.4493 Å, b = 6.1275 Å, c = 6.7838 Å, α = 68.55°, β = 80.62° and γ = 68.40°. The asymmetric unit holds Te at (0.0000, 0.0000, 0.0000), Te at (0.2783, 0.2670, 0.5669), P at (0.4092, 0.5135, 0.7322), P at (0.5048, 0.2146, 0.0464), Se at (0.5767, 0.4413, 0.2187) and Se at (0.9703, 0.7164, 0.7947).

***

[18]
Material: TePSe2
Method: DFT, PBE
State: optimized geometry

As for the density of states at the Fermi level: 5.05 states/eV/cell. The total magnetization comes out at 0.00 μB/f.u. For the uncorrected formation energy, the calculation gives 0.1911 eV/atom. For the distance to the lowest polymorph of the same formula, the calculation gives 38 meV per atom.

It has space group R-3m (No. 166, hexagonal axes), with a = 3.6348 Å, b = 3.6348 Å, c = 26.1614 Å, α = 90.00°, β = 90.00° and γ = 120.00°. The asymmetric unit holds Te at (0.0000, 0.0000, 0.0000), P at (0.0000, 0.0000, 0.5000) and Se at (0.0000, 0.0000, 0.1079).

***

[19]
Material: Te2PSe
Method: DFT, PBE
State: optimized geometry

As for the density of states at the Fermi level: 7.00 states/eV/cell. The total magnetization comes out at 0.00 μB/f.u. For the uncorrected formation energy, the calculation gives 0.2166 eV/atom. For the distance to the lowest polymorph of the same formula, the calculation gives 43 meV per atom.

It has space group R3m (No. 160, hexagonal axes), with a = 4.0634 Å, b = 4.0634 Å, c = 21.1935 Å, α = 90.00°, β = 90.00° and γ = 120.00°. The asymmetric unit holds Te at (0.0000, 0.0000, 0.0000), Te at (0.0000, 0.0000, 0.2342), P at (0.0000, 0.0000, 0.7420) and Se at (0.0000, 0.0000, 0.4775).

***

[20]
Material: Te2P2Se
Method: DFT, PBE
State: optimized geometry

As for the density of states at the Fermi level: 4.78 states/eV/cell. The total magnetization comes out at 0.00 μB/f.u. For the uncorrected formation energy, the calculation gives 0.3522 eV/atom.

It has space group I4/mmm (No. 139), with a = 5.4023 Å, b = 5.4023 Å, c = 7.8792 Å, α = 90.00°, β = 90.00° and γ = 90.00°. The asymmetric unit holds Te at (0.0000, 0.5000, 0.2500), P at (0.0000, 0.0000, 0.1535) and Se at (0.0000, 0.0000, 0.5000).